# Mg6CuPd10, optimized geometry, DFT PBE
# **Symmetry**: No. 162
# **Total moment**: 0.00 μB per cell
# **ΔH_f (0 K)**: -0.519 eV per atom
# **Final energy**: -4.38 eV/atom
data_Mg6CuPd10
_chemical_formula_sum 'Mg6 Cu1 Pd10'
_space_group_name_H-M_alt 'P 1'
_space_group_IT_number 1
_cell_length_a 5.4143
_cell_length_b 7.6334
_cell_length_c 7.6334
_cell_angle_alpha 120.00
_cell_angle_beta 90.00
_cell_angle_gamma 90.00
loop_
_space_group_symop_operation_xyz
'x,y,z'
loop_
_atom_site_label
_atom_site_fract_x
_atom_site_fract_y
_atom_site_fract_z
_atom_site_occupancy
Mg1 0.7193 0.3754 0.3754 1
Mg2 0.7193 0.0000 0.6246 1
Mg3 0.7193 0.6246 0.0000 1
Mg4 0.2807 0.6246 0.6246 1
Mg5 0.2807 0.0000 0.3754 1
Mg6 0.2807 0.3754 0.0000 1
Cu1 0.5000 0.0000 0.0000 1
Pd1 0.7990 0.7223 0.7223 1
Pd2 0.7990 0.0000 0.2777 1
Pd3 0.7990 0.2777 0.0000 1
Pd4 0.2010 0.2777 0.2777 1
Pd5 0.2010 0.0000 0.7223 1
Pd6 0.2010 0.7223 0.0000 1
Pd7 0.5000 0.3333 0.6667 1
Pd8 0.5000 0.6667 0.3333 1
Pd9 0.0000 0.6667 0.3333 1
Pd10 0.0000 0.3333 0.6667 1